A plane-wave DFT calculation with PBE-GGA was carried out for Ca2ThHg after structural relaxation. Values from VASP.

Computed properties:
* mass density: 6.45 g cm⁻³
* N(E_F): 4.2 states/eV/f.u.
* formation energy: 0.07 eV per atom
* symmetry: R-3m

Quantum ESPRESSO input file:
```
&SYSTEM
  ibrav = 0, nat = 4, ntyp = 3
/
ATOMIC_SPECIES
Ca 40.08 Ca.upf
Hg 200.59 Hg.upf
Th 232.04 Th.upf
CELL_PARAMETERS angstrom
-2.148 -2.808 0.504
0.333 -1.997 2.942
-8.458 5.422 6.806
ATOMIC_POSITIONS crystal
Ca 0.099 0.099 0.704
Ca 0.901 0.901 0.296
Hg 0.500 0.500 0.500
Th 0.000 0.000 0.000
```